Record 1
# PBE Rb2AlHF6, relaxed
data_Rb2AlHF6
_symmetry_space_group_name_H-M 'I 4/m m m'
_symmetry_Int_Tables_number 139
_symmetry_space_group_name_Hall '-I 4 2'
_cell_length_a 5.193
_cell_length_b 5.193
_cell_length_c 10.169
_cell_angle_alpha 90.00
_cell_angle_beta 90.00
_cell_angle_gamma 90.00
loop_
_atom_site_label
_atom_site_type_symbol
_atom_site_fract_x
_atom_site_fract_y
_atom_site_fract_z
Rb1 Rb 0.000 0.500 0.250
Al1 Al 0.000 0.000 0.000
H1 H 0.000 0.000 0.500
F1 F 0.000 0.000 0.176
F2 F 0.242 0.242 0.500
# N(E_F)	0.000	states/eV/cell
# VASP energy	-0.1690	hartree per atom

Record 2
# PBE Na5Tl5Sn2, relaxed
data_Na5Tl5Sn2
_symmetry_space_group_name_H-M 'C 1 2/m 1'
_symmetry_Int_Tables_number 12
_cell_length_a 10.770
_cell_length_b 5.425
_cell_length_c 13.146
_cell_angle_alpha 90.00
_cell_angle_beta 114.04
_cell_angle_gamma 90.00
loop_
_symmetry_equiv_pos_as_xyz
'x,y,z'
'-x,-y,-z'
'-x,y,-z'
'x,-y,z'
'x+1/2,y+1/2,z'
'-x+1/2,-y+1/2,-z'
'-x+1/2,y+1/2,-z'
'x+1/2,-y+1/2,z'
loop_
_atom_site_label
_atom_site_type_symbol
_atom_site_fract_x
_atom_site_fract_y
_atom_site_fract_z
Na1 Na 0.000 0.000 0.000
Na2 Na 0.135 0.500 0.775
Na3 Na 0.171 0.500 0.515
Tl1 Tl 0.000 0.000 0.500
Tl2 Tl 0.042 0.000 0.263
Tl3 Tl 0.200 0.500 0.048
Sn1 Sn 0.223 0.500 0.287
# N(E_F)	8.679	states/eV/cell
# energy relative to the lowest polymorph listed for this composition	0.0165	eV per atom
# DFT formation energy	-1.2	eV/f.u.

Record 3
# PBE TmTh2Mg, relaxed
data_TmTh2Mg
_symmetry_space_group_name_H-M 'R -3 m'
_symmetry_Int_Tables_number 166
_symmetry_space_group_name_Hall '-R 3 2"'
_cell_length_a 3.4153
_cell_length_b 3.4153
_cell_length_c 37.6278
_cell_angle_alpha 90.00
_cell_angle_beta 90.00
_cell_angle_gamma 120.00
loop_
_atom_site_label
_atom_site_type_symbol
_atom_site_fract_x
_atom_site_fract_y
_atom_site_fract_z
Tm1 Tm 0.0000 0.0000 0.0000
Th1 Th 0.0000 0.0000 0.4113
Mg1 Mg 0.0000 0.0000 0.5000
# N(E_F)	15.679	states/eV/cell
# energy relative to the lowest polymorph listed for this composition	0.2594	eV per atom
# DFT formation energy	1.1	eV/f.u.

Record 4
# PBE ScAl6Ga2, relaxed
data_ScAl6Ga2
_symmetry_space_group_name_H-M 'C 1 2/m 1'
_symmetry_Int_Tables_number 12
_cell_length_a 12.955
_cell_length_b 4.103
_cell_length_c 6.233
_cell_angle_alpha 90.00
_cell_angle_beta 110.01
_cell_angle_gamma 90.00
loop_
_symmetry_equiv_pos_as_xyz
'x,y,z'
'-x,-y,-z'
'-x,y,-z'
'x,-y,z'
'x+1/2,y+1/2,z'
'-x+1/2,-y+1/2,-z'
'-x+1/2,y+1/2,-z'
'x+1/2,-y+1/2,z'
loop_
_atom_site_label
_atom_site_type_symbol
_atom_site_fract_x
_atom_site_fract_y
_atom_site_fract_z
Sc1 Sc 0.000 0.000 0.000
Al1 Al 0.115 0.000 0.659
Al2 Al 0.168 0.500 0.003
Al3 Al 0.225 0.000 0.330
Ga1 Ga 0.061 0.500 0.339
# N(E_F)	8.960	states/eV/cell
# DFT formation energy	-1.2	eV/f.u.